Entry 1:
PBE Co2RuPb, relaxed; M_tot = 0.86 μB/atom; ΔH_f (0 K) = 208 kJ/mol of formula units
1.0
2.9421 0.0000 0.0000
0.0000 4.0502 0.0000
-1.4614 0.0000 5.0702
Co Ru Pb
2 1 1
Direct
0.0000 0.0000 0.0000
0.1225 0.5000 0.2468
0.4123 0.5000 0.8229
0.7400 0.0000 0.4829

---

Entry 2:
PBE RbAcCuO3, relaxed; M_tot = 0.00 μB/atom; ΔE_f (raw) = -1.94 eV/atom
1.0
6.8203 -2.0532 0.0000
6.8203 2.0532 0.0000
-2.1689 0.0000 7.5781
Rb Ac Cu O
2 2 2 6
Direct
0.1380 0.1380 0.0628
0.8620 0.8620 0.9372
0.1497 0.1497 0.5839
0.8503 0.8503 0.4161
0.4915 0.4915 0.7070
0.5085 0.5085 0.2930
0.0081 0.0081 0.3015
0.3424 0.3424 0.6292
0.3613 0.3613 0.2273
0.6387 0.6387 0.7727
0.6576 0.6576 0.3708
0.9919 0.9919 0.6985

---

Look up the M_tot of the first one.
0.86 μB/atom

---

Repeat the first record exactly.
PBE Co2RuPb, relaxed; M_tot = 0.86 μB/atom; ΔH_f (0 K) = 208 kJ/mol of formula units
1.0
2.9421 0.0000 0.0000
0.0000 4.0502 0.0000
-1.4614 0.0000 5.0702
Co Ru Pb
2 1 1
Direct
0.0000 0.0000 0.0000
0.1225 0.5000 0.2468
0.4123 0.5000 0.8229
0.7400 0.0000 0.4829